Arrangement a

A relaxed NbCuRu crystal, computed with PBE.

## Properties
D(E_F) in states/eV/cell: 3.41

Structure (CIF):
```
data_NbCuRu
_cell_length_a 3.278
_cell_length_b 3.278
_cell_length_c 8.355
_cell_angle_alpha 90.00
_cell_angle_beta 90.00
_cell_angle_gamma 90.00
_space_group_name_H-M_alt 'I 4 m m'
_space_group_IT_number 107
_space_group_name_Hall 'I 4 -2'
loop_
_atom_site_label
_atom_site_fract_x
_atom_site_fract_y
_atom_site_fract_z
Nb1 0.000 0.000 0.000
Cu1 0.000 0.000 0.671
Ru1 0.000 0.000 0.340
```



Arrangement b

A relaxed NbCuRu crystal, computed with PBE.

## Properties
D(E_F) in states/eV/cell: 2.84

Structure (CIF):
```
data_NbCuRu
_cell_length_a 4.3513
_cell_length_b 4.3513
_cell_length_c 2.7401
_cell_angle_alpha 90.00
_cell_angle_beta 90.00
_cell_angle_gamma 120.00
_space_group_name_H-M_alt 'P 3 m 1'
_space_group_IT_number 156
loop_
_space_group_symop_operation_xyz
'x,y,z'
'-y,x-y,z'
'-x+y,-x,z'
'-y,-x,z'
'-x+y,y,z'
'x,x-y,z'
loop_
_atom_site_label
_atom_site_fract_x
_atom_site_fract_y
_atom_site_fract_z
Nb1 0.0000 0.0000 0.0000
Cu1 0.3333 0.6667 0.3694
Ru1 0.6667 0.3333 0.7170
```



Calculated relative energies: arrangement a 0.000; arrangement b 0.101, given in eV/atom



Arrangement a

A relaxed NbCu2S2 crystal, computed with PBE.

## Properties
D(E_F) in states/eV/cell: 4.96

Structure (CIF):
```
data_NbCu2S2
_cell_length_a 3.243
_cell_length_b 3.243
_cell_length_c 14.325
_cell_angle_alpha 90.00
_cell_angle_beta 90.00
_cell_angle_gamma 90.00
_space_group_name_H-M_alt 'I 4/m m m'
_space_group_IT_number 139
_space_group_name_Hall '-I 4 2'
loop_
_atom_site_label
_atom_site_fract_x
_atom_site_fract_y
_atom_site_fract_z
Nb1 0.000 0.000 0.000
Cu1 0.000 0.500 0.250
S1 0.000 0.000 0.402
```



Arrangement b

A relaxed NbCu2S2 crystal, computed with PBE.

## Properties
D(E_F) in states/eV/cell: 4.48

Structure (CIF):
```
data_NbCu2S2
_cell_length_a 6.628
_cell_length_b 6.628
_cell_length_c 3.369
_cell_angle_alpha 90.00
_cell_angle_beta 90.00
_cell_angle_gamma 90.00
_space_group_name_H-M_alt 'P 4/m b m'
_space_group_IT_number 127
_space_group_name_Hall '-P 4 2ab'
loop_
_atom_site_label
_atom_site_fract_x
_atom_site_fract_y
_atom_site_fract_z
Nb1 0.000 0.000 0.000
Cu1 0.142 0.358 0.500
S1 0.172 0.672 0.000
```



Calculated relative energies: arrangement a 0.054; arrangement b 0.000, given in eV/atom



Arrangement a

A relaxed NbCu3S crystal, computed with PBE.

## Properties
D(E_F) in states/eV/cell: 6.57

Structure (CIF):
```
data_NbCu3S
_cell_length_a 4.800
_cell_length_b 4.800
_cell_length_c 4.800
_cell_angle_alpha 90.00
_cell_angle_beta 90.00
_cell_angle_gamma 90.00
_space_group_name_H-M_alt 'P m -3 m'
_space_group_IT_number 221
_space_group_name_Hall '-P 4 2 3'
loop_
_atom_site_label
_atom_site_fract_x
_atom_site_fract_y
_atom_site_fract_z
Nb1 0.000 0.000 0.000
Cu1 0.000 0.000 0.500
S1 0.500 0.500 0.500
```



Arrangement b

A relaxed NbCu3S crystal, computed with PBE.

## Properties
D(E_F) in states/eV/cell: 3.36

Structure (CIF):
```
data_NbCu3S
_cell_length_a 4.287
_cell_length_b 4.287
_cell_length_c 4.287
_cell_angle_alpha 90.00
_cell_angle_beta 90.00
_cell_angle_gamma 90.00
_space_group_name_H-M_alt 'P m -3 m'
_space_group_IT_number 221
_space_group_name_Hall '-P 4 2 3'
loop_
_atom_site_label
_atom_site_fract_x
_atom_site_fract_y
_atom_site_fract_z
Nb1 0.000 0.000 0.000
Cu1 0.000 0.500 0.500
S1 0.500 0.500 0.500
```



Calculated relative energies: arrangement a 0.981; arrangement b 0.000, given in eV/atom



Arrangement a

A relaxed NbCuSb3 crystal, computed with PBE.

## Properties
D(E_F) in states/eV/cell: 4.45

Structure (CIF):
```
data_NbCuSb3
_cell_length_a 5.022
_cell_length_b 5.022
_cell_length_c 5.022
_cell_angle_alpha 90.00
_cell_angle_beta 90.00
_cell_angle_gamma 90.00
_space_group_name_H-M_alt 'P m -3 m'
_space_group_IT_number 221
_space_group_name_Hall '-P 4 2 3'
loop_
_atom_site_label
_atom_site_fract_x
_atom_site_fract_y
_atom_site_fract_z
Nb1 0.000 0.000 0.000
Cu1 0.500 0.500 0.500
Sb1 0.000 0.500 0.500
```



Arrangement b

A relaxed NbCuSb3 crystal, computed with PBE.

## Properties
D(E_F) in states/eV/cell: 3.36

Structure (CIF):
```
data_NbCuSb3
_cell_length_a 5.327
_cell_length_b 5.327
_cell_length_c 5.327
_cell_angle_alpha 90.00
_cell_angle_beta 90.00
_cell_angle_gamma 90.00
_space_group_name_H-M_alt 'P m -3 m'
_space_group_IT_number 221
_space_group_name_Hall '-P 4 2 3'
loop_
_atom_site_label
_atom_site_fract_x
_atom_site_fract_y
_atom_site_fract_z
Nb1 0.000 0.000 0.000
Cu1 0.500 0.500 0.500
Sb1 0.000 0.000 0.500
```



Calculated relative energies: arrangement a 0.167; arrangement b 0.000, given in eV/atom